Computed, not measured: crystalline Np3Ag2O10 at its relaxed geometry at the PBE level of DFT.

```
Np3Ag2O10
1.0
6.493 0.003 -2.111
-1.048 7.808 -3.251
-0.086 -0.021 10.767
Np Ag O
6 4 20
Direct
0.923 0.524 0.846
0.077 0.476 0.154
0.819 0.987 0.638
0.181 0.013 0.362
0.747 0.000 0.000
0.253 0.000 0.000
0.671 0.019 0.342
0.329 0.981 0.658
0.666 0.503 0.332
0.334 0.497 0.668
0.659 0.979 0.796
0.137 0.979 0.796
0.341 0.021 0.204
0.863 0.021 0.204
0.660 0.537 0.724
0.061 0.536 0.723
0.340 0.463 0.276
0.939 0.464 0.277
0.978 0.829 0.957
0.022 0.171 0.043
0.866 0.228 0.732
0.134 0.772 0.268
0.776 0.753 0.550
0.224 0.247 0.450
0.477 0.840 0.956
0.523 0.160 0.044
0.816 0.500 0.000
0.184 0.500 0.000
0.500 0.000 0.500
0.000 0.000 0.500
```

N(E_F): 17.34 states/eV/cell
Formation energy from raw total energies: -31.94 eV per formula unit
V: 544.0 Å³ per cell
DFT total energy: -8.4031 eV/atom